(1)
Density functional theory data (PBE) for a relaxed structure of La3Sm7Ho.

- energy above the most stable polymorph in this dataset (kJ/mol of atoms) = 0.00
- raw total energy (eV per atom) = -4.54
- DOS at the Fermi energy (states/eV/cell) = 16.5

Unit cell a=7.8251 b=7.8251 c=6.5100 alpha=93.07 beta=93.07 gamma=81.93
Last column: nearest neighbours and their distance in Å.
Element x y z (fractional)
La1 0.0000 0.0000 0.0000  6 Sm 3.51-3.78, 4 La 3.72
La2 0.1762 0.8238 0.5000  7 Sm 3.32-3.63, 1 La 3.62
La3 0.8238 0.1762 0.5000  7 Sm 3.32-3.63, 1 La 3.62
Sm1 0.0900 0.4313 0.2376  5 Sm 3.39-3.65, 3 La 3.56-3.78, 1 Ho 3.75
Sm2 0.2399 0.2399 0.7121  5 Sm 3.39-3.57, 1 Ho 3.48, 3 La 3.51-3.56
Sm3 0.4313 0.0900 0.2376  5 Sm 3.39-3.65, 3 La 3.56-3.78, 1 Ho 3.75
Sm4 0.5000 0.5000 0.5000  2 Ho 3.25, 2 La 3.32, 2 Sm 3.46
Sm5 0.5687 0.9100 0.7624  5 Sm 3.39-3.65, 3 La 3.56-3.78, 1 Ho 3.75
Sm6 0.7601 0.7601 0.2879  5 Sm 3.39-3.57, 1 Ho 3.48, 3 La 3.51-3.56
Sm7 0.9100 0.5687 0.7624  5 Sm 3.39-3.65, 3 La 3.56-3.78, 1 Ho 3.75
Ho1 0.5000 0.5000 0.0000  4 Sm 3.25-3.48

(2)
Density functional theory data (PBE) for a relaxed structure of Nd5NpBi6.

- raw total energy (eV per atom) = -5.77
- DOS at the Fermi energy (states/eV/cell) = 11.2

Unit cell a=7.9584 b=7.9584 c=7.9599 alpha=99.58 beta=99.58 gamma=120.01
Last column: nearest neighbours and their distance in Å.
Element x y z (fractional)
Nd1 0.0000 0.0000 0.0000  6 Bi 3.25-3.29
Nd2 0.1659 0.8341 0.5000  6 Bi 3.25-3.26
Nd3 0.3314 0.6686 0.0000  6 Bi 3.25-3.27
Nd4 0.6686 0.3314 0.0000  6 Bi 3.25-3.27
Nd5 0.8341 0.1659 0.5000  6 Bi 3.25-3.26
Np1 0.5000 0.5000 0.5000  6 Bi 3.21
Bi1 0.0890 0.4179 0.2529  1 Np 3.21, 5 Nd 3.25-3.27
Bi2 0.2543 0.2543 0.7482  1 Np 3.21, 5 Nd 3.25-3.29
Bi3 0.4179 0.0890 0.2529  1 Np 3.21, 5 Nd 3.25-3.27
Bi4 0.5821 0.9110 0.7471  1 Np 3.21, 5 Nd 3.25-3.27
Bi5 0.7457 0.7457 0.2518  1 Np 3.21, 5 Nd 3.25-3.29
Bi6 0.9110 0.5821 0.7471  1 Np 3.21, 5 Nd 3.25-3.27

(3)
Density functional theory data (PBE) for a relaxed structure of Hf3ZnOs.

- energy above the most stable polymorph in this dataset (kJ/mol of atoms) = 0.00
- raw total energy (eV per atom) = -7.98
- DOS at the Fermi energy (states/eV/cell) = 9.3

Unit cell a=5.0114 b=5.0114 c=5.0114 alpha=90.00 beta=90.00 gamma=90.00
Last column: nearest neighbours and their distance in Å.
Element x y z (fractional)
Hf1 0.0000 0.0000 0.5000  2 Os 2.51
Hf2 0.0000 0.5000 0.0000  2 Os 2.51
Hf3 0.5000 0.0000 0.0000  2 Os 2.51
Zn1 0.5000 0.5000 0.5000  12 Hf 3.54
Os1 0.0000 0.0000 0.0000  6 Hf 2.51

(4)
Density functional theory data (PBE) for a relaxed structure of CaMg12Hg4.

- raw total energy (eV per atom) = -1.23
- DOS at the Fermi energy (states/eV/cell) = 5.3

Unit cell a=8.4779 b=8.4779 c=8.4779 alpha=109.47 beta=109.47 gamma=109.47
Last column: nearest neighbours and their distance in Å.
Element x y z (fractional)
Ca1 0.0000 0.0000 0.0000  12 Mg 3.73
Mg1 0.1623 0.5068 0.3445  2 Hg 2.75, 1 Mg 3.04
Mg2 0.1623 0.8178 0.6555  2 Hg 2.75, 1 Mg 3.04
Mg3 0.1822 0.3445 0.8377  2 Hg 2.75, 1 Mg 3.04
Mg4 0.3445 0.1623 0.5068  2 Hg 2.75, 1 Mg 3.04
Mg5 0.3445 0.8377 0.1822  2 Hg 2.75, 1 Mg 3.04
Mg6 0.4932 0.6555 0.8377  2 Hg 2.75, 1 Mg 3.04
Mg7 0.5068 0.3445 0.1623  2 Hg 2.75, 1 Mg 3.04
Mg8 0.6555 0.1623 0.8178  2 Hg 2.75, 1 Mg 3.04
Mg9 0.6555 0.8377 0.4932  2 Hg 2.75, 1 Mg 3.04
Mg10 0.8178 0.6555 0.1623  2 Hg 2.75, 1 Mg 3.04
Mg11 0.8377 0.1822 0.3445  2 Hg 2.75, 1 Mg 3.04
Mg12 0.8377 0.4932 0.6555  2 Hg 2.75, 1 Mg 3.04
Hg1 0.0000 0.0000 0.5000  6 Mg 2.75
Hg2 0.0000 0.5000 0.0000  6 Mg 2.75
Hg3 0.5000 0.0000 0.0000  6 Mg 2.75
Hg4 0.5000 0.5000 0.5000  6 Mg 2.75

(5)
Density functional theory data (PBE) for a relaxed structure of LaTb2Ho2.

- energy above the most stable polymorph in this dataset (kJ/mol of atoms) = 0.00
- raw total energy (eV per atom) = -4.59
- DOS at the Fermi energy (states/eV/cell) = 11.8

Unit cell a=9.4658 b=9.4658 c=3.7376 alpha=90.00 beta=90.00 gamma=90.00
Last column: nearest neighbours and their distance in Å.
Element x y z (fractional)
La1 0.0000 0.0000 0.0000  2 La 3.74, 4 Tb 3.74, 8 Ho 3.98
La2 0.5000 0.5000 0.0000  2 La 3.74, 4 Tb 3.74, 8 Ho 3.98
Tb1 0.1248 0.3752 0.0000  6 Ho 3.31-3.40, 1 Tb 3.34
Tb2 0.3752 0.8752 0.0000  6 Ho 3.31-3.40, 1 Tb 3.34
Tb3 0.6248 0.1248 0.0000  6 Ho 3.31-3.40, 1 Tb 3.34
Tb4 0.8752 0.6248 0.0000  6 Ho 3.31-3.40, 1 Tb 3.34
Ho1 0.1711 0.6711 0.5000  6 Tb 3.31-3.40
Ho2 0.3289 0.1711 0.5000  6 Tb 3.31-3.40
Ho3 0.6711 0.8289 0.5000  6 Tb 3.31-3.40
Ho4 0.8289 0.3289 0.5000  6 Tb 3.31-3.40

(6)
Density functional theory data (PBE) for a relaxed structure of Eu3Tl5Te12.

- raw total energy (eV per atom) = -4.47
- DOS at the Fermi energy (states/eV/cell) = 120.1
- raw formation energy (eV/atom) = -0.4569

Unit cell a=15.8848 b=15.8848 c=15.8848 alpha=109.47 beta=109.47 gamma=109.47
Last column: nearest neighbours and their distance in Å.
Element x y z (fractional)
Eu1 0.1250 0.2500 0.3750  8 Te 3.30-3.35
Eu2 0.1250 0.3750 0.7500  8 Te 3.30-3.35
Eu3 0.2500 0.3750 0.1250  8 Te 3.30-3.35
Eu4 0.2500 0.8750 0.6250  8 Te 3.30-3.35
Eu5 0.3750 0.1250 0.2500  8 Te 3.30-3.35
Eu6 0.3750 0.7500 0.1250  8 Te 3.30-3.35
Eu7 0.6250 0.2500 0.8750  8 Te 3.30-3.35
Eu8 0.6250 0.8750 0.7500  8 Te 3.30-3.35
Eu9 0.7500 0.1250 0.3750  8 Te 3.30-3.35
Eu10 0.7500 0.6250 0.8750  8 Te 3.30-3.35
Eu11 0.8750 0.6250 0.2500  8 Te 3.30-3.35
Eu12 0.8750 0.7500 0.6250  8 Te 3.30-3.35
Tl1 0.0000 0.0000 0.0000  6 Te 3.24
Tl2 0.0000 0.0000 0.5000  6 Te 3.24
Tl3 0.0000 0.5000 0.0000  6 Te 3.24
Tl4 0.0000 0.5000 0.5000  6 Te 3.24
Tl5 0.1250 0.7500 0.8750  4 Te 2.94
Tl6 0.1250 0.8750 0.2500  4 Te 2.94
Tl7 0.2500 0.1250 0.8750  4 Te 2.94
Tl8 0.2500 0.6250 0.3750  4 Te 2.94
Tl9 0.3750 0.2500 0.6250  4 Te 2.94
Tl10 0.3750 0.6250 0.7500  4 Te 2.94
Tl11 0.5000 0.0000 0.0000  6 Te 3.24
Tl12 0.5000 0.0000 0.5000  6 Te 3.24
Tl13 0.5000 0.5000 0.0000  6 Te 3.24
Tl14 0.5000 0.5000 0.5000  6 Te 3.24
Tl15 0.6250 0.3750 0.2500  4 Te 2.94
Tl16 0.6250 0.7500 0.3750  4 Te 2.94
Tl17 0.7500 0.3750 0.6250  4 Te 2.94
Tl18 0.7500 0.8750 0.1250  4 Te 2.94
Tl19 0.8750 0.1250 0.7500  4 Te 2.94
Tl20 0.8750 0.2500 0.1250  4 Te 2.94
Te1 0.0589 0.2336 0.1444  2 Tl 2.94-3.24
Te2 0.0589 0.3253 0.9145  2 Tl 2.94-3.24
Te3 0.0855 0.6444 0.4108  2 Tl 2.94-3.24
Te4 0.0855 0.9411 0.6747  2 Tl 2.94-3.24
Te5 0.0892 0.7336 0.6747  2 Tl 2.94-3.24
Te6 0.0892 0.8556 0.4145  2 Tl 2.94-3.24
Te7 0.1444 0.0589 0.2336  2 Tl 2.94-3.24
Te8 0.1444 0.5855 0.9108  2 Tl 2.94-3.24
Te9 0.1747 0.2336 0.5892  2 Tl 2.94-3.24
Te10 0.1747 0.4411 0.5855  2 Tl 2.94-3.24
Te11 0.2336 0.1444 0.0589  2 Tl 2.94-3.24
Te12 0.2336 0.5892 0.1747  2 Tl 2.94-3.24
Te13 0.2664 0.3253 0.9108  2 Tl 2.94-3.24
Te14 0.2664 0.4411 0.3556  2 Tl 2.94-3.24
Te15 0.3253 0.9108 0.2664  2 Tl 2.94-3.24
Te16 0.3253 0.9145 0.0589  2 Tl 2.94-3.24
Te17 0.3556 0.2664 0.4411  2 Tl 2.94-3.24
Te18 0.3556 0.5892 0.9145  2 Tl 2.94-3.24
Te19 0.4108 0.0855 0.6444  2 Tl 2.94-3.24
Te20 0.4108 0.8253 0.7664  2 Tl 2.94-3.24
Te21 0.4145 0.0892 0.8556  2 Tl 2.94-3.24
Te22 0.4145 0.8253 0.5589  2 Tl 2.94-3.24
Te23 0.4411 0.3556 0.2664  2 Tl 2.94-3.24
Te24 0.4411 0.5855 0.1747  2 Tl 2.94-3.24
Te25 0.5589 0.4145 0.8253  2 Tl 2.94-3.24
Te26 0.5589 0.6444 0.7336  2 Tl 2.94-3.24
Te27 0.5855 0.1747 0.4411  2 Tl 2.94-3.24
Te28 0.5855 0.9108 0.1444  2 Tl 2.94-3.24
Te29 0.5892 0.1747 0.2336  2 Tl 2.94-3.24
Te30 0.5892 0.9145 0.3556  2 Tl 2.94-3.24
Te31 0.6444 0.4108 0.0855  2 Tl 2.94-3.24
Te32 0.6444 0.7336 0.5589  2 Tl 2.94-3.24
Te33 0.6747 0.0855 0.9411  2 Tl 2.94-3.24
Te34 0.6747 0.0892 0.7336  2 Tl 2.94-3.24
Te35 0.7336 0.5589 0.6444  2 Tl 2.94-3.24
Te36 0.7336 0.6747 0.0892  2 Tl 2.94-3.24
Te37 0.7664 0.4108 0.8253  2 Tl 2.94-3.24
Te38 0.7664 0.8556 0.9411  2 Tl 2.94-3.24
Te39 0.8253 0.5589 0.4145  2 Tl 2.94-3.24
Te40 0.8253 0.7664 0.4108  2 Tl 2.94-3.24
Te41 0.8556 0.4145 0.0892  2 Tl 2.94-3.24
Te42 0.8556 0.9411 0.7664  2 Tl 2.94-3.24
Te43 0.9108 0.1444 0.5855  2 Tl 2.94-3.24
Te44 0.9108 0.2664 0.3253  2 Tl 2.94-3.24
Te45 0.9145 0.0589 0.3253  2 Tl 2.94-3.24
Te46 0.9145 0.3556 0.5892  2 Tl 2.94-3.24
Te47 0.9411 0.6747 0.0855  2 Tl 2.94-3.24
Te48 0.9411 0.7664 0.8556  2 Tl 2.94-3.24